(1)
{
  "formula": "PSeCl2",
  "functional": "PBE",
  "state": "relaxed",
  "cell": [[1.612, 0.930, 9.158], [-1.612, 0.930, 9.158], [0.000, -1.861, 9.158]],
  "species": ["P", "Se", "Cl", "Cl"],
  "fractional_positions": [[0.000, 0.000, 0.000], [0.500, 0.500, 0.500], [0.411, 0.411, 0.411], [0.589, 0.589, 0.589]],
  "volume_a3_per_fu": 82.4,
  "raw_formation_energy_mev_per_atom": 495,
  "density_g_cm3": 3.64,
  "total_energy_ha_per_atom": -0.097,
  "sg": "R-3m"
}

---

(2)
{
  "formula": "PSeCl2",
  "functional": "PBE",
  "state": "relaxed",
  "cell": [[1.782, 1.029, 8.585], [-1.782, 1.029, 8.585], [0.000, -2.058, 8.585]],
  "species": ["P", "Se", "Cl", "Cl"],
  "fractional_positions": [[0.000, 0.000, 0.000], [0.721, 0.721, 0.721], [0.267, 0.267, 0.267], [0.465, 0.465, 0.465]],
  "volume_a3_per_fu": 94.4,
  "raw_formation_energy_mev_per_atom": 22,
  "density_g_cm3": 3.18,
  "total_energy_ha_per_atom": -0.115,
  "sg": "R3m"
}

---

(3)
{
  "formula": "PSeCl3",
  "functional": "PBE",
  "state": "relaxed",
  "cell": [[4.898, 0.000, 0.000], [0.000, 4.898, 0.000], [0.000, 0.000, 4.898]],
  "species": ["P", "Se", "Cl", "Cl", "Cl"],
  "fractional_positions": [[0.000, 0.000, 0.000], [0.500, 0.500, 0.500], [0.000, 0.000, 0.500], [0.000, 0.500, 0.000], [0.500, 0.000, 0.000]],
  "volume_a3_per_fu": 117.5,
  "raw_formation_energy_mev_per_atom": 261,
  "density_g_cm3": 3.06,
  "total_energy_ha_per_atom": -0.096,
  "sg": "Pm-3m"
}

---

(4)
{
  "formula": "PSeCl2",
  "functional": "PBE",
  "state": "relaxed",
  "cell": [[3.056, -4.282, 0.000], [3.056, 4.282, 0.000], [-3.042, 0.000, 3.193]],
  "species": ["P", "Se", "Cl", "Cl"],
  "fractional_positions": [[0.000, 0.000, 0.000], [0.500, 0.500, 0.000], [0.000, 0.500, 0.500], [0.500, 0.000, 0.500]],
  "volume_a3_per_fu": 83.6,
  "raw_formation_energy_mev_per_atom": 477,
  "density_g_cm3": 3.59,
  "total_energy_ha_per_atom": -0.098,
  "sg": "C2/m"
}

---

Number 1: M_tot 0.000 μB per formula unit. Number 2: M_tot 0.000 μB per formula unit. Number 3: M_tot 2.140 μB per formula unit. Number 4: M_tot 0.000 μB per formula unit.